w:
Density functional theory data (GGA-PBE) for a relaxed structure of BaRe2H.

Results
- spin magnetization (μB per atom) = 0.00

Cell lengths 4.5838, 4.5838, 4.5838 Å; angles 60.00, 60.00, 60.00 degrees
Positions (direct):
Ba (0.0000, 0.0000, 0.0000)
Re (0.2500, 0.2500, 0.2500)
Re (0.7500, 0.7500, 0.7500)
H (0.5000, 0.5000, 0.5000)



x:
Density functional theory data (GGA-PBE) for a relaxed structure of BaRe2H.

Results
- spin magnetization (μB per atom) = 0.00

Cell lengths 5.8660, 5.8660, 5.8660 Å; angles 120.31, 120.31, 89.46 degrees
Positions (direct):
Ba (0.3750, 0.6250, 0.7500)
Ba (0.6250, 0.3750, 0.2500)
Re (0.0000, 0.0000, 0.0000)
Re (0.0000, 0.0000, 0.5000)
Re (0.0000, 0.5000, 0.0000)
Re (0.5000, 0.0000, 0.5000)
H (0.1250, 0.8750, 0.2500)
H (0.8750, 0.1250, 0.7500)



Least stable = w



w:
Density functional theory data (GGA-PBE) for a relaxed structure of BaReH2.

Results
- spin magnetization (μB per atom) = 0.00

Cell lengths 4.3872, 4.3872, 4.3872 Å; angles 60.00, 60.00, 60.00 degrees
Positions (direct):
Ba (0.0000, 0.0000, 0.0000)
Re (0.5000, 0.5000, 0.5000)
H (0.2500, 0.2500, 0.2500)
H (0.7500, 0.7500, 0.7500)



x:
Density functional theory data (GGA-PBE) for a relaxed structure of BaReH2.

Results
- spin magnetization (μB per atom) = 0.00

Cell lengths 5.4695, 5.4695, 5.4695 Å; angles 119.16, 119.16, 91.47 degrees
Positions (direct):
Ba (0.0000, 0.0000, 0.0000)
Ba (0.7500, 0.2500, 0.5000)
Re (0.2500, 0.7500, 0.5000)
Re (0.5000, 0.5000, 0.0000)
H (0.2450, 0.1250, 0.6200)
H (0.3750, 0.7550, 0.8800)
H (0.5050, 0.6250, 0.3800)
H (0.8750, 0.4950, 0.1200)



Least stable = w



w:
Density functional theory data (GGA-PBE) for a relaxed structure of Ba2Re2H.

Results
- spin magnetization (μB per atom) = 0.00

Cell lengths 9.5789, 9.5789, 9.5789 Å; angles 158.11, 158.11, 31.16 degrees
Positions (direct):
Ba (0.0985, 0.0985, 0.0000)
Ba (0.9015, 0.9015, 0.0000)
Re (0.2500, 0.7500, 0.5000)
Re (0.7500, 0.2500, 0.5000)
H (0.5000, 0.5000, 0.0000)



x:
Density functional theory data (GGA-PBE) for a relaxed structure of Ba2Re2H.

Results
- spin magnetization (μB per atom) = 0.22

Cell lengths 7.4805, 7.4805, 5.2248 Å; angles 90.00, 90.00, 90.00 degrees
Positions (direct):
Ba (0.1841, 0.3159, 0.0000)
Ba (0.3159, 0.8159, 0.0000)
Ba (0.6841, 0.1841, 0.0000)
Ba (0.8159, 0.6841, 0.0000)
Re (0.1032, 0.6032, 0.5000)
Re (0.3968, 0.1032, 0.5000)
Re (0.6032, 0.8968, 0.5000)
Re (0.8968, 0.3968, 0.5000)
H (0.0000, 0.0000, 0.0000)
H (0.5000, 0.5000, 0.0000)



Least stable = x



w:
Density functional theory data (GGA-PBE) for a relaxed structure of Ba6HRh2.

Results
- spin magnetization (μB per atom) = 0.00

Cell lengths 8.4832, 8.4832, 10.8228 Å; angles 107.43, 107.43, 30.89 degrees
Positions (direct):
Ba (0.0283, 0.0283, 0.2864)
Ba (0.2997, 0.2997, 0.3716)
Ba (0.3691, 0.3691, 0.9606)
Ba (0.6309, 0.6309, 0.0394)
Ba (0.7003, 0.7003, 0.6284)
Ba (0.9717, 0.9717, 0.7136)
H (0.0000, 0.0000, 0.0000)
Rh (0.3434, 0.3434, 0.6869)
Rh (0.6566, 0.6566, 0.3131)



x:
Density functional theory data (GGA-PBE) for a relaxed structure of Ba6HRh2.

Results
- spin magnetization (μB per atom) = 0.00

Cell lengths 8.5107, 8.5107, 10.7893 Å; angles 97.09, 97.09, 30.34 degrees
Positions (direct):
Ba (0.0551, 0.0551, 0.2697)
Ba (0.2069, 0.2069, 0.6589)
Ba (0.3623, 0.3623, 0.0122)
Ba (0.6377, 0.6377, 0.9878)
Ba (0.7931, 0.7931, 0.3411)
Ba (0.9449, 0.9449, 0.7303)
H (0.0000, 0.0000, 0.0000)
Rh (0.2127, 0.2127, 0.1833)
Rh (0.7873, 0.7873, 0.8167)



Least stable = x